Here is a relaxed structure of Sc8IrAu2 from the Alexandria database. Energies are from GGA-PBE.

Structure (extended XYZ):
```
11
Lattice="4.4636 0.0005 -1.3582 -1.1272 6.5213 -3.7037 -0.0365 0.0648 7.8903" Properties=species:S:1:pos:R:3 pbc="T T T"
Sc 2.4210 2.8340 -0.0557
Au 0.0892 4.5910 0.2910
Sc 0.4055 0.8280 1.3353
Sc 1.9196 5.7357 -1.7043
Ir 2.2318 0.0002 -0.6791
Sc 0.8788 3.7526 2.8841
Au 3.2106 1.9957 2.5373
Sc 2.8943 5.7587 1.4930
Sc 4.0951 2.1307 -2.5674
Sc -0.7953 4.4560 5.3957
Sc 1.3802 0.8509 4.5327
```

Calculated values
**ΔE_f**: -5.0 eV per formula unit
**Space group**: Immm, No. 71